VASP calculation (PBE-GGA) on a relaxed PrErHg crystal.

abc: 4.8684 4.8684 7.6938
angles: 90.00 90.00 90.00
Positions (direct):
Pr: 0.2500 0.2500 0.1353
Pr: 0.7500 0.7500 0.8647
Er: 0.2500 0.7500 0.5000
Er: 0.7500 0.2500 0.5000
Hg: 0.2500 0.2500 0.7415
Hg: 0.7500 0.7500 0.2585

Calculated values
DFT formation energy	-90	kJ/mol of formula units
density of states at the Fermi level	0.60	states/eV per atom
space-group type	P4/nmm
total energy	-3.53	eV/atom
E above lowest polymorph	0	meV per atom
crystal system	tetragonal